No. 1
KHoF5 | PBE | relaxed

Structure (POSCAR):
```
KHoF5
1.0
2.210 -8.388 0.000
2.210 8.388 0.000
-0.485 0.000 6.062
K Ho F
2 2 10
Direct
0.179 0.821 0.750
0.821 0.179 0.250
0.431 0.569 0.750
0.569 0.431 0.250
0.098 0.902 0.250
0.246 0.326 0.399
0.313 0.663 0.970
0.326 0.246 0.899
0.337 0.687 0.530
0.663 0.313 0.470
0.674 0.754 0.101
0.687 0.337 0.030
0.754 0.674 0.601
0.902 0.098 0.750
```

The value obtained for the calculated volume is 16.05 Å³/atom. The calculation puts the uncorrected formation energy at -3.149 eV/atom. Its magnetization is 2.0 Bohr magnetons per cell.

***

No. 2
V2MoIr | PBE | relaxed

Structure (POSCAR):
```
V2MoIr
1.0
4.277 0.000 0.000
0.000 4.277 0.000
0.000 0.000 3.109
V Mo Ir
2 1 1
Direct
0.000 0.500 0.000
0.500 0.000 0.000
0.000 0.000 0.500
0.500 0.500 0.500
```

The value obtained for the calculated volume is 14.22 Å³/atom. The energy relative to the elements comes out at -0.32 eV per atom. Its magnetization is 0.0 Bohr magnetons per cell.

***

No. 3
TlAsRu | PBE | relaxed

Structure (POSCAR):
```
TlAsRu
1.0
3.155 0.000 0.000
1.410 4.019 0.000
0.237 0.152 10.859
Tl As Ru
2 2 2
Direct
0.000 0.000 0.000
0.336 0.480 0.268
0.320 0.474 0.789
0.635 0.926 0.490
0.319 0.504 0.562
0.634 0.897 0.720
```

The value obtained for the calculated volume is 22.95 Å³/atom. The energy relative to the elements comes out at -0.02 eV per atom. Its magnetization is 0.0 Bohr magnetons per cell.

***

Question: Which value of magnetization does entry 1 give?
Answer: 2.0 Bohr magnetons per cell

***

Question: The highest calculated volume belongs to which entry?
Answer: TlAsRu

***

Question: Which formula does entry 1 have?
Answer: KHoF5